VASP calculation (GGA-PBE) on Sr2SbPd3 after structural relaxation.

a = 9.5366 Å, b = 5.8830 Å, c = 5.6668 Å
α = 90.00°, β = 122.03°, γ = 90.00°
Closest atoms and distances in Å follow each position.
Space group C2/m (No. 12)
Symmetry-distinct sites (fractional):
Sr 0.1247 0.0000 0.3743 [4 per cell]  9 Pd 3.26-3.42, 4 Sr 3.36-3.60, 3 Sb 3.45
Sb 0.0000 0.5000 0.0000 [2 per cell]  6 Pd 2.80-2.83
Pd 0.0000 0.5000 0.5000 [2 per cell]  2 Sb 2.83, 4 Pd 2.95
Pd 0.2500 0.2500 0.0000 [4 per cell]  2 Sb 2.80, 4 Pd 2.94-2.95

Results
ΔE_f (raw)   -725.1 meV per atom